*1*
First-principles (PBE) data for an optimized crystal structure of AgMoW2, as listed in Alexandria.

- space group = No. 123

Lattice parameters (Å, degrees): 3.2936 3.2936 6.0624 90.00 90.00 90.00
Atoms (fractional coordinates):
Ag  0.5000  0.5000  0.2500
Mo  0.5000  0.5000  0.7500
W  0.0000  0.0000  0.9815
W  0.0000  0.0000  0.5185



*2*
First-principles (PBE) data for an optimized crystal structure of AgMoW2, as listed in Alexandria.

- space group = No. 35

Lattice parameters (Å, degrees): 2.7312 2.7312 9.2423 90.00 90.00 107.57
Atoms (fractional coordinates):
Ag  0.0000  0.0000  0.4999
Mo  0.5000  0.5000  0.7603
W  0.0000  0.0000  0.9996
W  0.5000  0.5000  0.2402



Short version: *1* is the least stable of them.



*1*
First-principles (PBE) data for an optimized crystal structure of AgMoW2, as listed in Alexandria.

- space group = No. 12

Lattice parameters (Å, degrees): 5.4298 5.4298 2.6881 79.30 79.30 117.99
Atoms (fractional coordinates):
Ag  0.5000  0.0000  0.5000
Mo  0.0000  0.5000  0.5000
W  0.0000  0.0000  0.0000
W  0.5000  0.5000  0.0000



*2*
First-principles (PBE) data for an optimized crystal structure of AgMoW2, as listed in Alexandria.

- space group = No. 10

Lattice parameters (Å, degrees): 4.6276 2.6968 5.2899 82.39 90.00 90.00
Atoms (fractional coordinates):
Ag  0.5000  0.2500  0.2500
Mo  0.5000  0.7500  0.7500
W  0.0000  0.9909  0.9944
W  0.0000  0.5091  0.5056



*3*
First-principles (PBE) data for an optimized crystal structure of AgMoW2, as listed in Alexandria.

- space group = No. 122

Lattice parameters (Å, degrees): 7.2587 7.2587 5.8155 51.39 51.39 90.00
Atoms (fractional coordinates):
Mo  0.5000  0.5000  0.0000
Mo  0.2500  0.7500  0.5000
Ag  0.0000  0.0000  0.0000
Ag  0.7500  0.2500  0.5000
W  0.6010  0.1250  0.2500
W  0.1490  0.6250  0.2500
W  0.3750  0.3990  0.7500
W  0.8750  0.8510  0.7500



Short version: *3* is the least stable of them.



*1*
First-principles (PBE) data for an optimized crystal structure of Y2AgMo, as listed in Alexandria.

- space group = No. 44

Lattice parameters (Å, degrees): 6.3103 6.3103 6.3103 149.78 132.14 57.66
Atoms (fractional coordinates):
Ag  0.4730  0.4730  0.0000
Mo  0.2667  0.7667  0.5000
Y  0.0269  0.0269  0.0000
Y  0.7334  0.2334  0.5000



*2*
First-principles (PBE) data for an optimized crystal structure of Y2AgMo, as listed in Alexandria.

- space group = No. 25

Lattice parameters (Å, degrees): 3.2024 4.7358 6.1616 90.00 90.00 90.00
Atoms (fractional coordinates):
Ag  0.0000  0.0000  0.4754
Mo  0.5000  0.5000  0.7878
Y  0.0000  0.0000  0.9455
Y  0.5000  0.5000  0.2914



*3*
First-principles (PBE) data for an optimized crystal structure of Y2AgMo, as listed in Alexandria.

- space group = No. 225

Lattice parameters (Å, degrees): 5.0371 5.0371 5.0371 60.00 60.00 60.00
Atoms (fractional coordinates):
Y  0.2500  0.2500  0.2500
Y  0.7500  0.7500  0.7500
Mo  0.0000  0.0000  0.0000
Ag  0.5000  0.5000  0.5000



Short version: *2* is the least stable of them.



*1*
First-principles (PBE) data for an optimized crystal structure of YAgMo3, as listed in Alexandria.

- space group = No. 221

Lattice parameters (Å, degrees): 4.7999 4.7999 4.7999 90.00 90.00 90.00
Atoms (fractional coordinates):
Y  0.0000  0.0000  0.0000
Mo  0.0000  0.5000  0.0000
Mo  0.0000  0.0000  0.5000
Mo  0.5000  0.0000  0.0000
Ag  0.5000  0.5000  0.5000



*2*
First-principles (PBE) data for an optimized crystal structure of YAgMo3, as listed in Alexandria.

- space group = No. 221

Lattice parameters (Å, degrees): 4.8780 4.8780 4.8780 90.00 90.00 90.00
Atoms (fractional coordinates):
Y  0.5000  0.5000  0.5000
Mo  0.0000  0.5000  0.0000
Mo  0.0000  0.0000  0.5000
Mo  0.5000  0.0000  0.0000
Ag  0.0000  0.0000  0.0000



Short version: *1* is the least stable of them.



*1*
First-principles (PBE) data for an optimized crystal structure of ZnAgMo, as listed in Alexandria.

- space group = No. 42

Lattice parameters (Å, degrees): 6.7622 6.7590 2.7007 78.54 78.41 23.04
Atoms (fractional coordinates):
Ag  0.0041  0.0041  0.9959
Mo  0.3273  0.3273  0.6727
Zn  0.6686  0.6686  0.3314



*2*
First-principles (PBE) data for an optimized crystal structure of ZnAgMo, as listed in Alexandria.

- space group = No. 12

Lattice parameters (Å, degrees): 4.6565 4.6565 9.0326 65.71 65.71 33.89
Atoms (fractional coordinates):
Mo  0.9660  0.9660  0.2308
Mo  0.7872  0.7872  0.0765
Zn  0.6172  0.6172  0.4062
Zn  0.1360  0.1360  0.9011
Ag  0.2848  0.2848  0.5551
Ag  0.4684  0.4684  0.7523



*3*
First-principles (PBE) data for an optimized crystal structure of ZnAgMo, as listed in Alexandria.

- space group = No. 156

Lattice parameters (Å, degrees): 2.7983 2.7983 7.0677 90.00 90.00 120.00
Atoms (fractional coordinates):
Ag  0.0000  0.0000  0.9925
Mo  0.6667  0.3333  0.3425
Zn  0.3333  0.6667  0.6650



Short version: *3* is the least stable of them.



*1*
First-principles (PBE) data for an optimized crystal structure of Zr2AgMo, as listed in Alexandria.

- space group = No. 166

Lattice parameters (Å, degrees): 10.4046 10.4046 10.4046 16.42 16.42 16.42
Atoms (fractional coordinates):
Ag  0.2500  0.2500  0.2500
Mo  0.7500  0.7500  0.7500
Zr  0.0009  0.0009  0.0009
Zr  0.4991  0.4991  0.4991



*2*
First-principles (PBE) data for an optimized crystal structure of Zr2AgMo, as listed in Alexandria.

- space group = No. 99

Lattice parameters (Å, degrees): 3.5062 3.5062 6.3689 90.00 90.00 90.00
Atoms (fractional coordinates):
Ag  0.0000  0.0000  0.5059
Mo  0.5000  0.5000  0.7619
Zr  0.0000  0.0000  0.9746
Zr  0.5000  0.5000  0.2576



*3*
First-principles (PBE) data for an optimized crystal structure of Zr2AgMo, as listed in Alexandria.

- space group = No. 216

Lattice parameters (Å, degrees): 4.7717 4.7717 4.7717 60.00 60.00 60.00
Atoms (fractional coordinates):
Ag  0.5000  0.5000  0.5000
Mo  0.2500  0.2500  0.2500
Zr  0.0000  0.0000  0.0000
Zr  0.7500  0.7500  0.7500



Short version: *3* is the least stable of them.



*1*
First-principles (PBE) data for an optimized crystal structure of Zr2AgMo, as listed in Alexandria.

- space group = No. 123

Lattice parameters (Å, degrees): 4.7429 4.7421 3.4447 90.00 90.00 90.00
Atoms (fractional coordinates):
Ag  0.5000  0.0000  0.5000
Mo  0.0000  0.5000  0.5000
Zr  0.0000  0.0000  0.0000
Zr  0.5000  0.5000  0.0000



*2*
First-principles (PBE) data for an optimized crystal structure of Zr2AgMo, as listed in Alexandria.

- space group = No. 35

Lattice parameters (Å, degrees): 2.9002 2.9002 9.8781 90.00 90.00 109.64
Atoms (fractional coordinates):
Ag  0.0000  0.0000  0.5137
Mo  0.5000  0.5000  0.7505
Zr  0.0000  0.0000  0.9768
Zr  0.5000  0.5000  0.2590



Short version: *2* is the least stable of them.



*1*
First-principles (PBE) data for an optimized crystal structure of Zr2AgMo, as listed in Alexandria.

- space group = No. 65

Lattice parameters (Å, degrees): 3.0181 3.0181 9.0791 90.00 90.00 108.17
Atoms (fractional coordinates):
Ag  0.5000  0.5000  0.2500
Mo  0.5000  0.5000  0.7500
Zr  0.0000  0.0000  0.9846
Zr  0.0000  0.0000  0.5154



*2*
First-principles (PBE) data for an optimized crystal structure of Zr2AgMo, as listed in Alexandria.

- space group = No. 225

Lattice parameters (Å, degrees): 4.7900 4.7900 4.7900 60.00 60.00 60.00
Atoms (fractional coordinates):
Mo  0.0000  0.0000  0.0000
Zr  0.2500  0.2500  0.2500
Zr  0.7500  0.7500  0.7500
Ag  0.5000  0.5000  0.5000



*3*
First-principles (PBE) data for an optimized crystal structure of Zr2AgMo, as listed in Alexandria.

- space group = No. 119

Lattice parameters (Å, degrees): 5.3756 5.3756 5.3756 134.46 134.46 66.37
Atoms (fractional coordinates):
Ag  0.5000  0.5000  0.0000
Mo  0.7500  0.2500  0.5000
Zr  0.0000  0.0000  0.0000
Zr  0.2500  0.7500  0.5000



*4*
First-principles (PBE) data for an optimized crystal structure of Zr2AgMo, as listed in Alexandria.

- space group = No. 160

Lattice parameters (Å, degrees): 10.5909 10.5909 10.5909 15.97 15.97 15.97
Atoms (fractional coordinates):
Ag  0.4966  0.4966  0.4966
Mo  0.7533  0.7533  0.7533
Zr  0.0041  0.0041  0.0041
Zr  0.2461  0.2461  0.2461



Short version: *4* is the least stable of them.